--- a ---
A plane-wave DFT calculation with PBE was carried out for crystalline Li7Cd2Pb at its relaxed geometry.

Values from the calculation:
- DOS at the Fermi energy (states/eV/f.u.) = 5.8
- total moment (Bohr magnetons per cell) = 0.00
- crystal system = orthorhombic
- symmetry = No. 65

Geometry as CIF:
```
data_Li7Cd2Pb
_space_group_name_H-M_alt 'P 1'
_space_group_IT_number 1
_cell_length_a 4.321
_cell_length_b 8.287
_cell_length_c 8.287
_cell_angle_alpha 126.92
_cell_angle_beta 90.00
_cell_angle_gamma 90.00
loop_
_space_group_symop_operation_xyz
'x,y,z'
loop_
_atom_site_label
_atom_site_type_symbol
_atom_site_fract_x
_atom_site_fract_y
_atom_site_fract_z
Li1 Li 0.500 0.078 0.286
Li2 Li 0.500 0.286 0.078
Li3 Li 0.000 0.806 0.194
Li4 Li 0.500 0.500 0.500
Li5 Li 0.000 0.194 0.806
Cd1 Cd 0.500 0.698 0.302
Cd2 Cd 0.500 0.302 0.698
Pb1 Pb 0.000 0.000 0.000
Li6 Li 0.500 0.714 0.922
Li7 Li 0.500 0.922 0.714
```

--- b ---
A plane-wave DFT calculation with PBE was carried out for crystalline Li7Cd2Pb at its relaxed geometry.

Values from the calculation:
- DOS at the Fermi energy (states/eV/f.u.) = 4.9
- total moment (Bohr magnetons per cell) = 0.00
- crystal system = trigonal
- symmetry = No. 156

Geometry as CIF:
```
data_Li7Cd2Pb
_space_group_name_H-M_alt 'P 1'
_space_group_IT_number 1
_cell_length_a 4.745
_cell_length_b 4.745
_cell_length_c 10.051
_cell_angle_alpha 90.00
_cell_angle_beta 90.00
_cell_angle_gamma 120.00
loop_
_space_group_symop_operation_xyz
'x,y,z'
loop_
_atom_site_label
_atom_site_type_symbol
_atom_site_fract_x
_atom_site_fract_y
_atom_site_fract_z
Li1 Li 0.667 0.333 0.553
Li2 Li 0.333 0.667 0.136
Li3 Li 0.000 0.000 0.739
Cd1 Cd 0.333 0.667 0.634
Pb1 Pb 0.000 0.000 0.055
Cd2 Cd 0.667 0.333 0.256
Li4 Li 0.667 0.333 0.943
Li5 Li 0.333 0.667 0.379
Li6 Li 0.333 0.667 0.894
Li7 Li 0.000 0.000 0.394
```

Pick b: it beats the second-best structure by 173 meV per atom.

--- a ---
A plane-wave DFT calculation with PBE was carried out for crystalline Li3Cd3Pb at its relaxed geometry.

Values from the calculation:
- DOS at the Fermi energy (states/eV/f.u.) = 2.1
- total moment (Bohr magnetons per cell) = 0.00
- crystal system = cubic
- symmetry = No. 223

Geometry as CIF:
```
data_Li3Cd3Pb
_space_group_name_H-M_alt 'P 1'
_space_group_IT_number 1
_cell_length_a 7.216
_cell_length_b 7.216
_cell_length_c 7.216
_cell_angle_alpha 90.00
_cell_angle_beta 90.00
_cell_angle_gamma 90.00
loop_
_space_group_symop_operation_xyz
'x,y,z'
loop_
_atom_site_label
_atom_site_type_symbol
_atom_site_fract_x
_atom_site_fract_y
_atom_site_fract_z
Li1 Li 0.000 0.250 0.500
Li2 Li 0.500 0.000 0.750
Li3 Li 0.500 0.000 0.250
Cd1 Cd 0.750 0.000 0.500
Cd2 Cd 0.000 0.500 0.750
Li4 Li 0.750 0.500 0.000
Li5 Li 0.250 0.500 0.000
Cd3 Cd 0.500 0.250 0.000
Pb1 Pb 0.500 0.500 0.500
Cd4 Cd 0.250 0.000 0.500
Cd5 Cd 0.500 0.750 0.000
Cd6 Cd 0.000 0.500 0.250
Pb2 Pb 0.000 0.000 0.000
Li6 Li 0.000 0.750 0.500
```

--- b ---
A plane-wave DFT calculation with PBE was carried out for crystalline Li3Cd3Pb at its relaxed geometry.

Values from the calculation:
- DOS at the Fermi energy (states/eV/f.u.) = 2.2
- total moment (Bohr magnetons per cell) = 0.00
- crystal system = trigonal
- symmetry = No. 166

Geometry as CIF:
```
data_Li3Cd3Pb
_space_group_name_H-M_alt 'P 1'
_space_group_IT_number 1
_cell_length_a 6.103
_cell_length_b 6.103
_cell_length_c 10.450
_cell_angle_alpha 73.02
_cell_angle_beta 73.02
_cell_angle_gamma 60.00
loop_
_space_group_symop_operation_xyz
'x,y,z'
loop_
_atom_site_label
_atom_site_type_symbol
_atom_site_fract_x
_atom_site_fract_y
_atom_site_fract_z
Li1 Li 0.211 0.709 0.870
Li2 Li 0.291 0.789 0.130
Pb1 Pb 0.295 0.295 0.116
Cd1 Cd 0.625 0.625 0.623
Li3 Li 0.789 0.291 0.130
Pb2 Pb 0.705 0.705 0.884
Li4 Li 0.789 0.789 0.130
Cd2 Cd 0.127 0.625 0.623
Li5 Li 0.211 0.211 0.870
Cd3 Cd 0.625 0.127 0.623
Cd4 Cd 0.375 0.375 0.377
Li6 Li 0.709 0.211 0.870
Cd5 Cd 0.873 0.375 0.377
Cd6 Cd 0.375 0.873 0.377
```

Pick b: it beats the second-best structure by 354 meV per atom.

--- a ---
A plane-wave DFT calculation with PBE was carried out for crystalline Li2CdPb8 at its relaxed geometry.

Values from the calculation:
- DOS at the Fermi energy (states/eV/f.u.) = 5.4
- total moment (Bohr magnetons per cell) = 0.00
- crystal system = monoclinic
- symmetry = No. 12

Geometry as CIF:
```
data_Li2CdPb8
_space_group_name_H-M_alt 'P 1'
_space_group_IT_number 1
_cell_length_a 5.213
_cell_length_b 8.301
_cell_length_c 8.301
_cell_angle_alpha 76.52
_cell_angle_beta 80.85
_cell_angle_gamma 80.85
loop_
_space_group_symop_operation_xyz
'x,y,z'
loop_
_atom_site_label
_atom_site_type_symbol
_atom_site_fract_x
_atom_site_fract_y
_atom_site_fract_z
Cd1 Cd 0.000 0.000 0.000
Pb1 Pb 0.207 0.345 0.824
Li1 Li 0.461 0.125 0.125
Pb2 Pb 0.207 0.824 0.345
Pb3 Pb 0.694 0.603 0.603
Pb4 Pb 0.793 0.655 0.176
Pb5 Pb 0.101 0.758 0.758
Li2 Li 0.539 0.875 0.875
Pb6 Pb 0.899 0.242 0.242
Pb7 Pb 0.306 0.397 0.397
Pb8 Pb 0.793 0.176 0.655
```

--- b ---
A plane-wave DFT calculation with PBE was carried out for crystalline Li2CdPb8 at its relaxed geometry.

Values from the calculation:
- DOS at the Fermi energy (states/eV/f.u.) = 4.6
- total moment (Bohr magnetons per cell) = 0.00
- crystal system = monoclinic
- symmetry = No. 12

Geometry as CIF:
```
data_Li2CdPb8
_space_group_name_H-M_alt 'P 1'
_space_group_IT_number 1
_cell_length_a 4.960
_cell_length_b 7.808
_cell_length_c 8.853
_cell_angle_alpha 108.62
_cell_angle_beta 106.27
_cell_angle_gamma 90.00
loop_
_space_group_symop_operation_xyz
'x,y,z'
loop_
_atom_site_label
_atom_site_type_symbol
_atom_site_fract_x
_atom_site_fract_y
_atom_site_fract_z
Pb1 Pb 0.605 0.473 0.210
Pb2 Pb 0.148 0.216 0.295
Cd1 Cd 0.500 0.000 0.000
Pb3 Pb 0.041 0.736 0.083
Pb4 Pb 0.395 0.527 0.790
Pb5 Pb 0.320 0.069 0.640
Li1 Li 0.775 0.353 0.550
Pb6 Pb 0.959 0.264 0.917
Pb7 Pb 0.852 0.784 0.705
Li2 Li 0.225 0.647 0.450
Pb8 Pb 0.680 0.931 0.360
```

Pick b: it beats the second-best structure by 78 meV per atom.

--- a ---
A plane-wave DFT calculation with PBE was carried out for crystalline Li6CdPb at its relaxed geometry.

Values from the calculation:
- DOS at the Fermi energy (states/eV/f.u.) = 3.6
- total moment (Bohr magnetons per cell) = 0.00
- crystal system = trigonal
- symmetry = No. 166

Geometry as CIF:
```
data_Li6CdPb
_space_group_name_H-M_alt 'P 1'
_space_group_IT_number 1
_cell_length_a 4.719
_cell_length_b 4.719
_cell_length_c 8.141
_cell_angle_alpha 73.15
_cell_angle_beta 73.15
_cell_angle_gamma 60.00
loop_
_space_group_symop_operation_xyz
'x,y,z'
loop_
_atom_site_label
_atom_site_type_symbol
_atom_site_fract_x
_atom_site_fract_y
_atom_site_fract_z
Li1 Li 0.625 0.625 0.124
Li2 Li 0.125 0.125 0.626
Li3 Li 0.875 0.875 0.374
Li4 Li 0.755 0.755 0.736
Pb1 Pb 0.500 0.500 0.500
Li5 Li 0.245 0.245 0.264
Cd1 Cd 0.000 0.000 0.000
Li6 Li 0.375 0.375 0.876
```

--- b ---
A plane-wave DFT calculation with PBE was carried out for crystalline Li6CdPb at its relaxed geometry.

Values from the calculation:
- DOS at the Fermi energy (states/eV/f.u.) = 3.2
- total moment (Bohr magnetons per cell) = 0.00
- crystal system = triclinic
- symmetry = No. 2

Geometry as CIF:
```
data_Li6CdPb
_space_group_name_H-M_alt 'P 1'
_space_group_IT_number 1
_cell_length_a 7.478
_cell_length_b 7.491
_cell_length_c 5.339
_cell_angle_alpha 45.29
_cell_angle_beta 45.62
_cell_angle_gamma 60.55
loop_
_space_group_symop_operation_xyz
'x,y,z'
loop_
_atom_site_label
_atom_site_type_symbol
_atom_site_fract_x
_atom_site_fract_y
_atom_site_fract_z
Li1 Li 0.002 0.497 0.254
Pb1 Pb 0.000 0.000 0.000
Li2 Li 0.500 0.247 0.252
Li3 Li 0.998 0.503 0.746
Li4 Li 0.754 0.000 0.742
Li5 Li 0.500 0.753 0.748
Cd1 Cd 0.500 0.500 0.500
Li6 Li 0.246 0.000 0.258
```

Pick a: it beats the second-best structure by 39 meV per atom.

--- a ---
A plane-wave DFT calculation with PBE was carried out for crystalline LiCdPb6 at its relaxed geometry.

Values from the calculation:
- DOS at the Fermi energy (states/eV/f.u.) = 3.3
- total moment (Bohr magnetons per cell) = 0.00
- crystal system = orthorhombic
- symmetry = No. 65

Geometry as CIF:
```
data_LiCdPb6
_space_group_name_H-M_alt 'P 1'
_space_group_IT_number 1
_cell_length_a 4.702
_cell_length_b 7.033
_cell_length_c 7.033
_cell_angle_alpha 90.06
_cell_angle_beta 90.00
_cell_angle_gamma 90.00
loop_
_space_group_symop_operation_xyz
'x,y,z'
loop_
_atom_site_label
_atom_site_type_symbol
_atom_site_fract_x
_atom_site_fract_y
_atom_site_fract_z
Pb1 Pb 0.000 0.253 0.253
Pb2 Pb 0.000 0.253 0.747
Pb3 Pb 0.500 0.500 0.000
Pb4 Pb 0.000 0.747 0.253
Pb5 Pb 0.500 0.000 0.500
Pb6 Pb 0.000 0.747 0.747
Cd1 Cd 0.500 0.500 0.500
Li1 Li 0.500 0.000 0.000
```

--- b ---
A plane-wave DFT calculation with PBE was carried out for crystalline LiCdPb6 at its relaxed geometry.

Values from the calculation:
- DOS at the Fermi energy (states/eV/f.u.) = 4.0
- total moment (Bohr magnetons per cell) = 0.00
- crystal system = monoclinic
- symmetry = No. 12

Geometry as CIF:
```
data_LiCdPb6
_space_group_name_H-M_alt 'P 1'
_space_group_IT_number 1
_cell_length_a 6.406
_cell_length_b 7.538
_cell_length_c 7.074
_cell_angle_alpha 57.80
_cell_angle_beta 72.41
_cell_angle_gamma 55.45
loop_
_space_group_symop_operation_xyz
'x,y,z'
loop_
_atom_site_label
_atom_site_type_symbol
_atom_site_fract_x
_atom_site_fract_y
_atom_site_fract_z
Pb1 Pb 0.250 0.524 0.441
Pb2 Pb 0.751 0.747 0.000
Pb3 Pb 0.750 0.035 0.441
Li1 Li 0.500 0.500 0.000
Pb4 Pb 0.249 0.253 0.000
Pb5 Pb 0.250 0.965 0.559
Pb6 Pb 0.750 0.476 0.559
Cd1 Cd 0.000 0.000 0.000
```

Pick a: it beats the second-best structure by 97 meV per atom.

--- a ---
A plane-wave DFT calculation with PBE was carried out for crystalline Li3CdPb at its relaxed geometry.

Values from the calculation:
- DOS at the Fermi energy (states/eV/f.u.) = 1.6
- total moment (Bohr magnetons per cell) = 0.00
- crystal system = monoclinic
- symmetry = No. 12

Geometry as CIF:
```
data_Li3CdPb
_space_group_name_H-M_alt 'P 1'
_space_group_IT_number 1
_cell_length_a 5.904
_cell_length_b 4.858
_cell_length_c 10.311
_cell_angle_alpha 103.63
_cell_angle_beta 134.41
_cell_angle_gamma 90.00
loop_
_space_group_symop_operation_xyz
'x,y,z'
loop_
_atom_site_label
_atom_site_type_symbol
_atom_site_fract_x
_atom_site_fract_y
_atom_site_fract_z
Li1 Li 0.039 0.794 0.588
Li2 Li 0.264 0.003 0.006
Li3 Li 0.655 0.406 0.811
Cd1 Cd 0.588 0.818 0.637
Li4 Li 0.961 0.206 0.412
Li5 Li 0.345 0.594 0.189
Li6 Li 0.736 0.997 0.994
Cd2 Cd 0.412 0.182 0.363
Pb1 Pb 0.873 0.608 0.215
Pb2 Pb 0.127 0.392 0.785
```

--- b ---
A plane-wave DFT calculation with PBE was carried out for crystalline Li3CdPb at its relaxed geometry.

Values from the calculation:
- DOS at the Fermi energy (states/eV/f.u.) = 1.8
- total moment (Bohr magnetons per cell) = 0.00
- crystal system = cubic
- symmetry = No. 221

Geometry as CIF:
```
data_Li3CdPb
_space_group_name_H-M_alt 'P 1'
_space_group_IT_number 1
_cell_length_a 4.980
_cell_length_b 4.980
_cell_length_c 4.980
_cell_angle_alpha 90.00
_cell_angle_beta 90.00
_cell_angle_gamma 90.00
loop_
_space_group_symop_operation_xyz
'x,y,z'
loop_
_atom_site_label
_atom_site_type_symbol
_atom_site_fract_x
_atom_site_fract_y
_atom_site_fract_z
Li1 Li 0.500 0.000 0.000
Li2 Li 0.000 0.000 0.500
Pb1 Pb 0.500 0.500 0.500
Cd1 Cd 0.000 0.000 0.000
Li3 Li 0.000 0.500 0.000
```

--- c ---
A plane-wave DFT calculation with PBE was carried out for crystalline Li3CdPb at its relaxed geometry.

Values from the calculation:
- DOS at the Fermi energy (states/eV/f.u.) = 1.5
- total moment (Bohr magnetons per cell) = 0.00
- crystal system = monoclinic
- symmetry = No. 11

Geometry as CIF:
```
data_Li3CdPb
_space_group_name_H-M_alt 'P 1'
_space_group_IT_number 1
_cell_length_a 4.868
_cell_length_b 5.435
_cell_length_c 7.865
_cell_angle_alpha 90.00
_cell_angle_beta 107.67
_cell_angle_gamma 90.00
loop_
_space_group_symop_operation_xyz
'x,y,z'
loop_
_atom_site_label
_atom_site_type_symbol
_atom_site_fract_x
_atom_site_fract_y
_atom_site_fract_z
Cd1 Cd 0.839 0.750 0.674
Pb1 Pb 0.632 0.750 0.255
Li1 Li 0.756 0.250 0.519
Pb2 Pb 0.368 0.250 0.745
Li2 Li 0.560 0.250 0.121
Cd2 Cd 0.161 0.250 0.326
Li3 Li 0.440 0.750 0.879
Li4 Li 0.244 0.750 0.481
Li5 Li 0.000 0.500 0.000
Li6 Li 0.000 0.000 0.000
```

Pick a: it beats the second-best structure by 19 meV per atom.